[1]
Compound: Sc2PW4
Source: the Alexandria database
Functional: GGA-PBE
Structure: relaxed

Summary:
* Fermi-level density of states: 1.777 states/eV/atom
* density: 10131 kg/m3
* E_tot: -125.730 eV/cell
* calculated formation energy: 23.1 kcal/mol of atoms
* V: 20.050 Å³/atom

The structure in CIF format:
```
data_Sc2PW4
_symmetry_space_group_name_H-M 'I 4/m m m'
_symmetry_Int_Tables_number 139
_symmetry_space_group_name_Hall '-I 4 2'
_cell_length_a 4.436
_cell_length_b 4.436
_cell_length_c 14.263
_cell_angle_alpha 90.00
_cell_angle_beta 90.00
_cell_angle_gamma 90.00
loop_
_atom_site_label
_atom_site_fract_x
_atom_site_fract_y
_atom_site_fract_z
Sc1 0.000 0.000 0.141
P1 0.000 0.000 0.500
W1 0.000 0.000 0.340
W2 0.000 0.500 0.000
```

***

[2]
Compound: Sc2PW
Source: the Alexandria database
Functional: GGA-PBE
Structure: relaxed

Summary:
* Fermi-level density of states: 0.695 states/eV/atom
* density: 7327 kg/m3
* E_tot: -62.968 eV/cell
* calculated formation energy: -2.6 kcal/mol of atoms
* V: 17.265 Å³/atom

The structure in CIF format:
```
data_Sc2PW
_symmetry_space_group_name_H-M 'C 1 2/m 1'
_symmetry_Int_Tables_number 12
_cell_length_a 8.882
_cell_length_b 3.543
_cell_length_c 4.628
_cell_angle_alpha 90.00
_cell_angle_beta 108.50
_cell_angle_gamma 90.00
loop_
_symmetry_equiv_pos_as_xyz
'x,y,z'
'-x,-y,-z'
'-x,y,-z'
'x,-y,z'
'x+1/2,y+1/2,z'
'-x+1/2,-y+1/2,-z'
'-x+1/2,y+1/2,-z'
'x+1/2,-y+1/2,z'
loop_
_atom_site_label
_atom_site_fract_x
_atom_site_fract_y
_atom_site_fract_z
Sc1 0.232 0.000 0.229
P1 0.000 0.500 0.000
W1 0.000 0.000 0.500
```

***

[3]
Compound: ScPW2
Source: the Alexandria database
Functional: GGA-PBE
Structure: relaxed

Summary:
* Fermi-level density of states: 0.448 states/eV/atom
* density: 11231 kg/m3
* E_tot: -74.271 eV/cell
* calculated formation energy: 3.0 kcal/mol of atoms
* V: 16.397 Å³/atom

The structure in CIF format:
```
data_ScPW2
_symmetry_space_group_name_H-M 'C m m m'
_symmetry_Int_Tables_number 65
_symmetry_space_group_name_Hall '-C 2 2'
_cell_length_a 3.353
_cell_length_b 4.742
_cell_length_c 8.252
_cell_angle_alpha 90.00
_cell_angle_beta 90.00
_cell_angle_gamma 90.00
loop_
_atom_site_label
_atom_site_fract_x
_atom_site_fract_y
_atom_site_fract_z
Sc1 0.000 0.000 0.000
P1 0.000 0.000 0.500
W1 0.000 0.500 0.288
```

***

[4]
Compound: ScPW2
Source: the Alexandria database
Functional: GGA-PBE
Structure: relaxed

Summary:
* Fermi-level density of states: 0.697 states/eV/atom
* density: 11154 kg/m3
* E_tot: -74.052 eV/cell
* calculated formation energy: 3.6 kcal/mol of atoms
* V: 16.511 Å³/atom

The structure in CIF format:
```
data_ScPW2
_symmetry_space_group_name_H-M 'C 1 2/m 1'
_symmetry_Int_Tables_number 12
_cell_length_a 5.480
_cell_length_b 9.514
_cell_length_c 3.041
_cell_angle_alpha 90.00
_cell_angle_beta 123.59
_cell_angle_gamma 90.00
loop_
_symmetry_equiv_pos_as_xyz
'x,y,z'
'-x,-y,-z'
'-x,y,-z'
'x,-y,z'
'x+1/2,y+1/2,z'
'-x+1/2,-y+1/2,-z'
'-x+1/2,y+1/2,-z'
'x+1/2,-y+1/2,z'
loop_
_atom_site_label
_atom_site_fract_x
_atom_site_fract_y
_atom_site_fract_z
Sc1 0.000 0.000 0.000
P1 0.000 0.500 0.000
W1 0.250 0.250 0.500
```

***

[5]
Compound: ScPW3
Source: the Alexandria database
Functional: GGA-PBE
Structure: relaxed

Summary:
* Fermi-level density of states: 0.761 states/eV/atom
* density: 11383 kg/m3
* E_tot: -47.976 eV/cell
* calculated formation energy: 12.1 kcal/mol of atoms
* V: 18.307 Å³/atom
* excess energy over the best structure of this formula in the dataset: 0 meV/atom

The structure in CIF format:
```
data_ScPW3
_symmetry_space_group_name_H-M 'P m -3 m'
_symmetry_Int_Tables_number 221
_symmetry_space_group_name_Hall '-P 4 2 3'
_cell_length_a 4.507
_cell_length_b 4.507
_cell_length_c 4.507
_cell_angle_alpha 90.00
_cell_angle_beta 90.00
_cell_angle_gamma 90.00
loop_
_atom_site_label
_atom_site_fract_x
_atom_site_fract_y
_atom_site_fract_z
Sc1 0.000 0.000 0.000
P1 0.500 0.500 0.500
W1 0.000 0.500 0.500
```

***

[6]
Compound: ScPW2
Source: the Alexandria database
Functional: GGA-PBE
Structure: relaxed

Summary:
* Fermi-level density of states: 0.759 states/eV/atom
* density: 10736 kg/m3
* E_tot: -113.133 eV/cell
* calculated formation energy: -0.4 kcal/mol of atoms
* V: 17.153 Å³/atom

The structure in CIF format:
```
data_ScPW2
_symmetry_space_group_name_H-M 'R 3 m'
_symmetry_Int_Tables_number 160
_symmetry_space_group_name_Hall 'R 3 -2"'
_cell_length_a 3.1700
_cell_length_b 3.1700
_cell_length_c 23.6518
_cell_angle_alpha 90.00
_cell_angle_beta 90.00
_cell_angle_gamma 120.00
loop_
_atom_site_label
_atom_site_fract_x
_atom_site_fract_y
_atom_site_fract_z
Sc1 0.0000 0.0000 0.0000
P1 0.0000 0.0000 0.7504
W1 0.0000 0.0000 0.2378
W2 0.0000 0.0000 0.4854
```

***

[7]
Compound: Sc2PW
Source: the Alexandria database
Functional: GGA-PBE
Structure: relaxed

Summary:
* Fermi-level density of states: 1.170 states/eV/atom
* density: 6692 kg/m3
* E_tot: -32.221 eV/cell
* calculated formation energy: -6.9 kcal/mol of atoms
* V: 18.903 Å³/atom

The structure in CIF format:
```
data_Sc2PW
_symmetry_space_group_name_H-M 'P 4 m m'
_symmetry_Int_Tables_number 99
_cell_length_a 3.202
_cell_length_b 3.202
_cell_length_c 7.376
_cell_angle_alpha 90.00
_cell_angle_beta 90.00
_cell_angle_gamma 90.00
loop_
_symmetry_equiv_pos_as_xyz
'x,y,z'
'-y,x,z'
'-x,-y,z'
'y,-x,z'
'-x,y,z'
'y,x,z'
'x,-y,z'
'-y,-x,z'
loop_
_atom_site_label
_atom_site_fract_x
_atom_site_fract_y
_atom_site_fract_z
Sc1 0.000 0.000 0.000
Sc2 0.500 0.500 0.356
P1 0.500 0.500 0.762
W1 0.000 0.000 0.618
```

***

[8]
Compound: ScPW2
Source: the Alexandria database
Functional: GGA-PBE
Structure: relaxed

Summary:
* Fermi-level density of states: 0.656 states/eV/atom
* density: 11350 kg/m3
* E_tot: -37.274 eV/cell
* calculated formation energy: 2.2 kcal/mol of atoms
* V: 16.226 Å³/atom

The structure in CIF format:
```
data_ScPW2
_symmetry_space_group_name_H-M 'P 4/m m m'
_symmetry_Int_Tables_number 123
_symmetry_space_group_name_Hall '-P 4 2'
_cell_length_a 3.264
_cell_length_b 3.264
_cell_length_c 6.092
_cell_angle_alpha 90.00
_cell_angle_beta 90.00
_cell_angle_gamma 90.00
loop_
_atom_site_label
_atom_site_fract_x
_atom_site_fract_y
_atom_site_fract_z
Sc1 0.000 0.000 0.000
P1 0.000 0.000 0.500
W1 0.500 0.500 0.294
```

***

[9]
Compound: ScPW2
Source: the Alexandria database
Functional: GGA-PBE
Structure: relaxed

Summary:
* Fermi-level density of states: 0.980 states/eV/atom
* density: 11189 kg/m3
* E_tot: -74.576 eV/cell
* calculated formation energy: 2.1 kcal/mol of atoms
* V: 16.458 Å³/atom

The structure in CIF format:
```
data_ScPW2
_symmetry_space_group_name_H-M 'I 4/m m m'
_symmetry_Int_Tables_number 139
_symmetry_space_group_name_Hall '-I 4 2'
_cell_length_a 3.723
_cell_length_b 3.723
_cell_length_c 9.500
_cell_angle_alpha 90.00
_cell_angle_beta 90.00
_cell_angle_gamma 90.00
loop_
_atom_site_label
_atom_site_fract_x
_atom_site_fract_y
_atom_site_fract_z
Sc1 0.000 0.000 0.000
P1 0.000 0.000 0.500
W1 0.000 0.500 0.250
```

***

[10]
Compound: Sc2PW
Source: the Alexandria database
Functional: GGA-PBE
Structure: relaxed

Summary:
* Fermi-level density of states: 0.946 states/eV/atom
* density: 7092 kg/m3
* E_tot: -64.301 eV/cell
* calculated formation energy: -6.5 kcal/mol of atoms
* V: 17.836 Å³/atom

The structure in CIF format:
```
data_Sc2PW
_symmetry_space_group_name_H-M 'C m m m'
_symmetry_Int_Tables_number 65
_symmetry_space_group_name_Hall '-C 2 2'
_cell_length_a 3.659
_cell_length_b 4.819
_cell_length_c 8.093
_cell_angle_alpha 90.00
_cell_angle_beta 90.00
_cell_angle_gamma 90.00
loop_
_atom_site_label
_atom_site_fract_x
_atom_site_fract_y
_atom_site_fract_z
Sc1 0.000 0.000 0.229
P1 0.000 0.500 0.000
W1 0.000 0.500 0.500
```

***

[11]
Compound: ScP2W
Source: the Alexandria database
Functional: GGA-PBE
Structure: relaxed

Summary:
* Fermi-level density of states: 1.255 states/eV/atom
* density: 7806 kg/m3
* E_tot: -116.080 eV/cell
* calculated formation energy: 6.3 kcal/mol of atoms
* V: 15.462 Å³/atom
* excess energy over the best structure of this formula in the dataset: 1027 meV/atom

The structure in CIF format:
```
data_ScP2W
_symmetry_space_group_name_H-M 'F -4 3 m'
_symmetry_Int_Tables_number 216
_symmetry_space_group_name_Hall 'F -4 2 3'
_cell_length_a 6.278
_cell_length_b 6.278
_cell_length_c 6.278
_cell_angle_alpha 90.00
_cell_angle_beta 90.00
_cell_angle_gamma 90.00
loop_
_atom_site_label
_atom_site_fract_x
_atom_site_fract_y
_atom_site_fract_z
Sc1 0.000 0.000 0.000
P1 0.000 0.000 0.500
P2 0.250 0.250 0.750
W1 0.250 0.250 0.250
```

***

[12]
Compound: ScPW2
Source: the Alexandria database
Functional: GGA-PBE
Structure: relaxed

Summary:
* Fermi-level density of states: 0.722 states/eV/atom
* density: 11409 kg/m3
* E_tot: -37.583 eV/cell
* calculated formation energy: 0.4 kcal/mol of atoms
* V: 16.142 Å³/atom

The structure in CIF format:
```
data_ScPW2
_symmetry_space_group_name_H-M 'P 1 2/m 1'
_symmetry_Int_Tables_number 10
_cell_length_a 4.434
_cell_length_b 3.229
_cell_length_c 4.680
_cell_angle_alpha 90.00
_cell_angle_beta 105.44
_cell_angle_gamma 90.00
loop_
_symmetry_equiv_pos_as_xyz
'x,y,z'
'-x,-y,-z'
'-x,y,-z'
'x,-y,z'
loop_
_atom_site_label
_atom_site_fract_x
_atom_site_fract_y
_atom_site_fract_z
Sc1 0.000 0.000 0.000
P1 0.500 0.500 0.000
W1 0.000 0.500 0.500
W2 0.500 0.000 0.500
```

***

Which formula does entry 2 have?
Sc2PW

***

Among the records above, which one has the lowest Fermi-level density of states?
number 3

***

What is the E_tot in the twelfth record?
-37.583 eV/cell